# CePr7Tl5 PBE optimized geometry
# ΔH_f (0 K) = -209.7 kJ/mol of formula units
# crystal system = orthorhombic
# uncorrected energy = -4.107 eV/atom
data_CePr7Tl5
_chemical_formula_sum 'Ce2 Pr14 Tl10'
_cell_length_a 6.884
_cell_length_b 10.871
_cell_length_c 11.338
_cell_angle_alpha 90.00
_cell_angle_beta 90.00
_cell_angle_gamma 90.00
_symmetry_space_group_name_H-M 'I m m 2'
_symmetry_Int_Tables_number 44
_symmetry_space_group_name_Hall 'I 2 -2'
loop_
_atom_site_label
_atom_site_type_symbol
_atom_site_fract_x
_atom_site_fract_y
_atom_site_fract_z
Ce1 Ce 0.000 0.000 0.000
Pr1 Pr 0.000 0.000 0.328
Pr2 Pr 0.000 0.000 0.660
Pr3 Pr 0.000 0.314 0.437
Pr4 Pr 0.000 0.332 0.952
Pr5 Pr 0.000 0.500 0.682
Tl1 Tl 0.000 0.500 0.204
Tl2 Tl 0.241 0.239 0.193



# MgMnCoW PBE optimized geometry
# ΔH_f (0 K) = 58.1 kJ/mol of formula units
# crystal system = cubic
# uncorrected energy = -7.555 eV/atom
data_MgMnCoW
_chemical_formula_sum 'Mg4 Mn4 Co4 W4'
_cell_length_a 5.958
_cell_length_b 5.958
_cell_length_c 5.958
_cell_angle_alpha 90.00
_cell_angle_beta 90.00
_cell_angle_gamma 90.00
_symmetry_space_group_name_H-M 'F -4 3 m'
_symmetry_Int_Tables_number 216
_symmetry_space_group_name_Hall 'F -4 2 3'
loop_
_atom_site_label
_atom_site_type_symbol
_atom_site_fract_x
_atom_site_fract_y
_atom_site_fract_z
Mg1 Mg 0.000 0.000 0.000
Mn1 Mn 0.250 0.250 0.250
Co1 Co 0.250 0.250 0.750
W1 W 0.000 0.000 0.500



# La2Cu2Ni PBE optimized geometry
# ΔH_f (0 K) = -124.2 kJ/mol of formula units
# crystal system = monoclinic
# uncorrected energy = -5.023 eV/atom
data_La2Cu2Ni
_chemical_formula_sum 'La8 Cu8 Ni4'
_cell_length_a 10.772
_cell_length_b 4.038
_cell_length_c 11.510
_cell_angle_alpha 90.00
_cell_angle_beta 117.67
_cell_angle_gamma 90.00
_symmetry_space_group_name_H-M 'C 1 2/m 1'
_symmetry_Int_Tables_number 12
_symmetry_space_group_name_Hall '-C 2y'
loop_
_atom_site_label
_atom_site_type_symbol
_atom_site_fract_x
_atom_site_fract_y
_atom_site_fract_z
La1 La 0.061 0.000 0.360
La2 La 0.203 0.000 0.118
Cu1 Cu 0.007 0.500 0.886
Cu2 Cu 0.126 0.500 0.582
Ni1 Ni 0.234 0.500 0.313



# Y3Zn2Pd PBE optimized geometry
# ΔH_f (0 K) = -309.9 kJ/mol of formula units
# crystal system = trigonal
# uncorrected energy = -5.058 eV/atom
# E above lowest polymorph = 0.007 eV/atom
data_Y3Zn2Pd
_chemical_formula_sum 'Y3 Zn2 Pd1'
_cell_length_a 5.0264
_cell_length_b 5.0264
_cell_length_c 6.1670
_cell_angle_alpha 90.00
_cell_angle_beta 90.00
_cell_angle_gamma 120.00
_symmetry_space_group_name_H-M 'P -3 m 1'
_symmetry_Int_Tables_number 164
_symmetry_space_group_name_Hall '-P 3 2"'
loop_
_atom_site_label
_atom_site_type_symbol
_atom_site_fract_x
_atom_site_fract_y
_atom_site_fract_z
Y1 Y 0.0000 0.0000 0.0000
Y2 Y 0.3333 0.6667 0.6596
Zn1 Zn 0.3333 0.6667 0.1507
Pd1 Pd 0.0000 0.0000 0.5000



# Cd2InBiO6 PBE optimized geometry
# crystal system = monoclinic
# formation energy without anion corrections = -1.10 eV per atom
# uncorrected energy = -4.922 eV/atom
data_Cd2InBiO6
_chemical_formula_sum 'Cd4 In2 Bi2 O12'
_cell_length_a 5.670
_cell_length_b 5.794
_cell_length_c 10.009
_cell_angle_alpha 90.00
_cell_angle_beta 124.35
_cell_angle_gamma 90.00
_symmetry_space_group_name_H-M 'P 1 21/c 1'
_symmetry_Int_Tables_number 14
_symmetry_space_group_name_Hall '-P 2ybc'
loop_
_atom_site_label
_atom_site_type_symbol
_atom_site_fract_x
_atom_site_fract_y
_atom_site_fract_z
Cd1 Cd 0.234 0.049 0.247
In1 In 0.000 0.000 0.500
Bi1 Bi 0.500 0.000 0.000
O1 O 0.127 0.191 0.936
O2 O 0.239 0.697 0.927
O3 O 0.380 0.069 0.755



# FeGeBi2 PBE optimized geometry
# ΔH_f (0 K) = 199.5 kJ/mol of formula units
# crystal system = tetragonal
# uncorrected energy = -4.694 eV/atom
data_FeGeBi2
_chemical_formula_sum 'Fe4 Ge4 Bi8'
_cell_length_a 6.300
_cell_length_b 6.300
_cell_length_c 12.690
_cell_angle_alpha 90.00
_cell_angle_beta 90.00
_cell_angle_gamma 90.00
_symmetry_space_group_name_H-M 'I -4 2 d'
_symmetry_Int_Tables_number 122
_symmetry_space_group_name_Hall 'I -4 2bw'
loop_
_atom_site_label
_atom_site_type_symbol
_atom_site_fract_x
_atom_site_fract_y
_atom_site_fract_z
Fe1 Fe 0.000 0.000 0.000
Ge1 Ge 0.000 0.000 0.500
Bi1 Bi 0.223 0.250 0.125



Question: Which value of uncorrected energy does entry 4 give?
Answer: -5.058 eV/atom



Please write out number 2 again, unchanged.
# MgMnCoW PBE optimized geometry
# ΔH_f (0 K) = 58.1 kJ/mol of formula units
# crystal system = cubic
# uncorrected energy = -7.555 eV/atom
data_MgMnCoW
_chemical_formula_sum 'Mg4 Mn4 Co4 W4'
_cell_length_a 5.958
_cell_length_b 5.958
_cell_length_c 5.958
_cell_angle_alpha 90.00
_cell_angle_beta 90.00
_cell_angle_gamma 90.00
_symmetry_space_group_name_H-M 'F -4 3 m'
_symmetry_Int_Tables_number 216
_symmetry_space_group_name_Hall 'F -4 2 3'
loop_
_atom_site_label
_atom_site_type_symbol
_atom_site_fract_x
_atom_site_fract_y
_atom_site_fract_z
Mg1 Mg 0.000 0.000 0.000
Mn1 Mn 0.250 0.250 0.250
Co1 Co 0.250 0.250 0.750
W1 W 0.000 0.000 0.500